# Te2Pd2PtF2, relaxed, DFT PBE-GGA
# Electronic total energy = -4.374 eV per atom
# Total magnetization = 0.000 μB/atom
# Symmetry = P-4m2 (115)
data_Te2Pd2PtF2
_cell_length_a 3.9479
_cell_length_b 3.9479
_cell_length_c 7.5474
_cell_angle_alpha 90.00
_cell_angle_beta 90.00
_cell_angle_gamma 90.00
_space_group_name_H-M_alt 'P 1'
_space_group_IT_number 1
_space_group_name_Hall 'P 1'
loop_
_atom_site_label
_atom_site_type_symbol
_atom_site_fract_x
_atom_site_fract_y
_atom_site_fract_z
_atom_site_occupancy
Te1 Te 0.5000 0.0000 0.2318 1
Te2 Te 0.0000 0.5000 0.7682 1
F1 F 0.5000 0.5000 0.5000 1
F2 F 0.0000 0.0000 0.5000 1
Pd1 Pd 0.0000 0.5000 0.2595 1
Pd2 Pd 0.5000 0.0000 0.7405 1
Pt1 Pt 0.5000 0.5000 0.0000 1

# AgH5S2O9, relaxed, DFT PBE-GGA
# Electronic total energy = -5.332 eV per atom
# Symmetry = P2_1/c (14)
data_AgH5S2O9
_cell_length_a 6.7681
_cell_length_b 12.8846
_cell_length_c 7.9597
_cell_angle_alpha 90.00
_cell_angle_beta 104.56
_cell_angle_gamma 90.00
_space_group_name_H-M_alt 'P 1'
_space_group_IT_number 1
_space_group_name_Hall 'P 1'
loop_
_atom_site_label
_atom_site_type_symbol
_atom_site_fract_x
_atom_site_fract_y
_atom_site_fract_z
_atom_site_occupancy
O1 O 0.7165 0.0749 0.1394 1
O2 O 0.1410 0.2193 0.3799 1
O3 O 0.4923 0.5694 0.6743 1
O4 O 0.7165 0.4251 0.6394 1
O5 O 0.7680 0.5104 0.9135 1
O6 O 0.9114 0.8876 0.0023 1
O7 O 0.7680 0.9896 0.4135 1
O8 O 0.0886 0.1124 0.9977 1
O9 O 0.5482 0.7669 0.3660 1
O10 O 0.5077 0.4306 0.3257 1
O11 O 0.9090 0.1539 0.7024 1
O12 O 0.0910 0.8461 0.2976 1
O13 O 0.8590 0.7193 0.1201 1
O14 O 0.8059 0.2407 0.9299 1
O15 O 0.1410 0.2807 0.8799 1
O16 O 0.1941 0.7407 0.5701 1
O17 O 0.9090 0.3461 0.2024 1
O18 O 0.5482 0.7331 0.8660 1
O19 O 0.4518 0.2669 0.1340 1
O20 O 0.1941 0.7593 0.0701 1
O21 O 0.2835 0.5749 0.3606 1
O22 O 0.2320 0.0104 0.5865 1
O23 O 0.4923 0.9306 0.1743 1
O24 O 0.4518 0.2331 0.6340 1
O25 O 0.8590 0.7807 0.6201 1
O26 O 0.5077 0.0694 0.8257 1
O27 O 0.4646 0.4014 0.8084 1
O28 O 0.5354 0.9014 0.6916 1
O29 O 0.0910 0.6539 0.7976 1
O30 O 0.9114 0.6124 0.5023 1
O31 O 0.2835 0.9251 0.8606 1
O32 O 0.5354 0.5986 0.1916 1
O33 O 0.0886 0.3876 0.4977 1
O34 O 0.4646 0.0986 0.3084 1
O35 O 0.2320 0.4896 0.0865 1
O36 O 0.8059 0.2593 0.4299 1
Ag1 Ag 0.0987 0.4639 0.7770 1
Ag2 Ag 0.9013 0.9639 0.7230 1
Ag3 Ag 0.0987 0.0361 0.2770 1
Ag4 Ag 0.9013 0.5361 0.2230 1
H1 H 0.6788 0.7750 0.4661 1
H2 H 0.3658 0.5721 0.4887 1
H3 H 0.5518 0.7987 0.7944 1
H4 H 0.5238 0.6697 0.7872 1
H5 H 0.8465 0.2818 0.0464 1
H6 H 0.6342 0.0721 0.0113 1
H7 H 0.4762 0.3303 0.2128 1
H8 H 0.3212 0.2250 0.5339 1
H9 H 0.5518 0.7013 0.2944 1
H10 H 0.3658 0.9279 0.9887 1
H11 H 0.4482 0.2013 0.2056 1
H12 H 0.6342 0.4279 0.5113 1
H13 H 0.1535 0.7182 0.9536 1
H14 H 0.8465 0.2182 0.5464 1
H15 H 0.3212 0.2750 0.0339 1
H16 H 0.1535 0.7818 0.4536 1
H17 H 0.6788 0.7250 0.9661 1
H18 H 0.5238 0.8303 0.2872 1
H19 H 0.4482 0.2987 0.7056 1
H20 H 0.4762 0.1697 0.7128 1
S1 S 0.3934 0.5220 0.2325 1
S2 S 0.0049 0.8054 0.1209 1
S3 S 0.9951 0.1946 0.8791 1
S4 S 0.6066 0.4780 0.7675 1
S5 S 0.9951 0.3054 0.3791 1
S6 S 0.3934 0.9780 0.7325 1
S7 S 0.6066 0.0220 0.2675 1
S8 S 0.0049 0.6946 0.6209 1

# Er3Mg3AlIr2, relaxed, DFT PBE-GGA
# Electronic total energy = -4.925 eV per atom
# Total magnetization = 0.001 μB/atom
# Symmetry = P-62m (189)
data_Er3Mg3AlIr2
_cell_length_a 7.2716
_cell_length_b 7.2716
_cell_length_c 4.1591
_cell_angle_alpha 90.00
_cell_angle_beta 90.00
_cell_angle_gamma 120.00
_space_group_name_H-M_alt 'P 1'
_space_group_IT_number 1
_space_group_name_Hall 'P 1'
loop_
_atom_site_label
_atom_site_type_symbol
_atom_site_fract_x
_atom_site_fract_y
_atom_site_fract_z
_atom_site_occupancy
Er1 Er 0.4263 0.4263 0.0000 1
Er2 Er 0.0000 0.5737 0.0000 1
Er3 Er 0.5737 0.0000 0.0000 1
Ir1 Ir 0.3333 0.6667 0.5000 1
Ir2 Ir 0.6667 0.3333 0.5000 1
Al1 Al 0.0000 0.0000 0.0000 1
Mg1 Mg 0.7484 0.7484 0.5000 1
Mg2 Mg 0.0000 0.2516 0.5000 1
Mg3 Mg 0.2516 0.0000 0.5000 1

# BaLuNp, relaxed, DFT PBE-GGA
# Electronic total energy = -5.080 eV per atom
# Excess energy over the best structure of this formula in the dataset = 0 meV/atom
# Total magnetization = 2.139 μB/atom
# Symmetry = F-43m (216)
data_BaLuNp
_cell_length_a 5.7120
_cell_length_b 5.7120
_cell_length_c 5.7120
_cell_angle_alpha 60.00
_cell_angle_beta 60.00
_cell_angle_gamma 60.00
_space_group_name_H-M_alt 'P 1'
_space_group_IT_number 1
_space_group_name_Hall 'P 1'
loop_
_atom_site_label
_atom_site_type_symbol
_atom_site_fract_x
_atom_site_fract_y
_atom_site_fract_z
_atom_site_occupancy
Lu1 Lu 0.2500 0.2500 0.2500 1
Ba1 Ba 0.5000 0.5000 0.5000 1
Np1 Np 0.0000 0.0000 0.0000 1

# LiYGaPd, relaxed, DFT PBE-GGA
# Electronic total energy = -4.693 eV per atom
# Excess energy over the best structure of this formula in the dataset = 68 meV/atom
# Total magnetization = 0.000 μB/atom
# Symmetry = F-43m (216)
data_LiYGaPd
_cell_length_a 4.6440
_cell_length_b 4.6440
_cell_length_c 4.6440
_cell_angle_alpha 60.00
_cell_angle_beta 60.00
_cell_angle_gamma 60.00
_space_group_name_H-M_alt 'P 1'
_space_group_IT_number 1
_space_group_name_Hall 'P 1'
loop_
_atom_site_label
_atom_site_type_symbol
_atom_site_fract_x
_atom_site_fract_y
_atom_site_fract_z
_atom_site_occupancy
Ga1 Ga 0.2500 0.2500 0.2500 1
Pd1 Pd 0.0000 0.0000 0.0000 1
Li1 Li 0.7500 0.7500 0.7500 1
Y1 Y 0.5000 0.5000 0.5000 1

# Lu2CoIr, relaxed, DFT PBE-GGA
# Electronic total energy = -6.377 eV per atom
# DFT formation energy = -48 kJ/mol of formula units
# Total magnetization = 0.397 μB/atom
# Symmetry = F-43m (216)
data_Lu2CoIr
_cell_length_a 4.6214
_cell_length_b 4.6214
_cell_length_c 4.6214
_cell_angle_alpha 60.00
_cell_angle_beta 60.00
_cell_angle_gamma 60.00
_space_group_name_H-M_alt 'P 1'
_space_group_IT_number 1
_space_group_name_Hall 'P 1'
loop_
_atom_site_label
_atom_site_type_symbol
_atom_site_fract_x
_atom_site_fract_y
_atom_site_fract_z
_atom_site_occupancy
Co1 Co 0.2500 0.2500 0.2500 1
Ir1 Ir 0.5000 0.5000 0.5000 1
Lu1 Lu 0.0000 0.0000 0.0000 1
Lu2 Lu 0.7500 0.7500 0.7500 1

# DyNbCSe, relaxed, DFT PBE-GGA
# Electronic total energy = -7.711 eV per atom
# Excess energy over the best structure of this formula in the dataset = 0 meV/atom
# Total magnetization = 0.000 μB/atom
# Symmetry = P-6m2 (187)
data_DyNbCSe
_cell_length_a 3.4921
_cell_length_b 3.4921
_cell_length_c 12.8057
_cell_angle_alpha 90.00
_cell_angle_beta 90.00
_cell_angle_gamma 120.00
_space_group_name_H-M_alt 'P 1'
_space_group_IT_number 1
_space_group_name_Hall 'P 1'
loop_
_atom_site_label
_atom_site_type_symbol
_atom_site_fract_x
_atom_site_fract_y
_atom_site_fract_z
_atom_site_occupancy
Dy1 Dy 0.6667 0.3333 0.6604 1
Dy2 Dy 0.6667 0.3333 0.3396 1
Nb1 Nb 0.3333 0.6667 0.1446 1
Nb2 Nb 0.3333 0.6667 0.8554 1
C1 C 0.0000 0.0000 0.2283 1
C2 C 0.0000 0.0000 0.7717 1
Se1 Se 0.6667 0.3333 0.0000 1
Se2 Se 0.3333 0.6667 0.5000 1

# RbPdAu3Se4, relaxed, DFT PBE-GGA
# Electronic total energy = -3.378 eV per atom
# Symmetry = P-43m (215)
data_RbPdAu3Se4
_cell_length_a 6.4548
_cell_length_b 6.4548
_cell_length_c 6.4548
_cell_angle_alpha 90.00
_cell_angle_beta 90.00
_cell_angle_gamma 90.00
_space_group_name_H-M_alt 'P 1'
_space_group_IT_number 1
_space_group_name_Hall 'P 1'
loop_
_atom_site_label
_atom_site_type_symbol
_atom_site_fract_x
_atom_site_fract_y
_atom_site_fract_z
_atom_site_occupancy
Rb1 Rb 0.5000 0.5000 0.5000 1
Pd1 Pd 0.0000 0.0000 0.0000 1
Se1 Se 0.2189 0.2189 0.7811 1
Se2 Se 0.7811 0.2189 0.2189 1
Se3 Se 0.2189 0.7811 0.2189 1
Se4 Se 0.7811 0.7811 0.7811 1
Au1 Au 0.5000 0.0000 0.0000 1
Au2 Au 0.0000 0.5000 0.0000 1
Au3 Au 0.0000 0.0000 0.5000 1